(1)
Computed, not measured: a relaxed Y2Er2Ru3 crystal at the PBE level of DFT.

Spin magnetization (μB/cell): 0.00
Formation enthalpy at 0 K (eV/atom): -0.2732

```
data_Y2Er2Ru3
_chemical_formula_sum 'Y2 Er2 Ru3'
_space_group_name_H-M_alt 'P -1'
_space_group_IT_number 2
_cell_length_a 4.8953
_cell_length_b 4.8956
_cell_length_c 7.9516
_cell_angle_alpha 107.67
_cell_angle_beta 90.06
_cell_angle_gamma 119.96
loop_
_space_group_symop_operation_xyz
'x,y,z'
'-x,-y,-z'
loop_
_atom_site_label
_atom_site_fract_x
_atom_site_fract_y
_atom_site_fract_z
_atom_site_occupancy
Y1 0.1228 0.2458 0.3679 1
Er1 0.3741 0.7481 0.1210 1
Ru1 0.2495 0.4988 0.7491 1
Ru2 0.5000 0.0000 0.5000 1
```

=====

(2)
Computed, not measured: a relaxed CaLa2Pm12 crystal at the PBE level of DFT.

Spin magnetization (μB/cell): 0.00
Formation enthalpy at 0 K (eV/atom): 0.1429

```
data_CaLa2Pm12
_chemical_formula_sum 'Ca4 La8 Pm48'
_space_group_name_H-M_alt 'C m m e'
_space_group_IT_number 67
_space_group_name_Hall '-C 2a 2'
_cell_length_a 7.2282
_cell_length_b 11.6702
_cell_length_c 25.5669
_cell_angle_alpha 90.00
_cell_angle_beta 90.00
_cell_angle_gamma 90.00
loop_
_atom_site_label
_atom_site_fract_x
_atom_site_fract_y
_atom_site_fract_z
_atom_site_occupancy
Ca1 0.0000 0.2500 0.9999 1
La1 0.0000 0.2500 0.2713 1
La2 0.0000 0.2500 0.7223 1
Pm1 0.0000 0.0005 0.0831 1
Pm2 0.0000 0.0252 0.5582 1
Pm3 0.2289 0.2500 0.4206 1
Pm4 0.2483 0.2500 0.8642 1
Pm5 0.2500 0.0000 0.2036 1
Pm6 0.2500 0.0000 0.3305 1
```

=====

(3)
Computed, not measured: a relaxed Zr4Cu3Os crystal at the PBE level of DFT.

Spin magnetization (μB/cell): 0.00
Formation enthalpy at 0 K (eV/atom): -0.2336

```
data_Zr4Cu3Os
_chemical_formula_sum 'Zr4 Cu3 Os1'
_space_group_name_H-M_alt 'P 4/m m m'
_space_group_IT_number 123
_space_group_name_Hall '-P 4 2'
_cell_length_a 4.6223
_cell_length_b 4.6223
_cell_length_c 6.6138
_cell_angle_alpha 90.00
_cell_angle_beta 90.00
_cell_angle_gamma 90.00
loop_
_atom_site_label
_atom_site_fract_x
_atom_site_fract_y
_atom_site_fract_z
_atom_site_occupancy
Zr1 0.0000 0.5000 0.2485 1
Cu1 0.0000 0.0000 0.0000 1
Cu2 0.0000 0.0000 0.5000 1
Cu3 0.5000 0.5000 0.5000 1
Os1 0.5000 0.5000 0.0000 1
```